Version A
Density functional theory data (GGA-PBE) for a relaxed BAsPb2 crystal.

abc: 5.0763 5.0763 5.0763
angles: 60.00 60.00 60.00
With the nearest neighbours (Å) after each atom.
Atoms (fractional coordinates):
B: 0.0000 0.0000 0.0000  8 Pb 3.11
As: 0.5000 0.5000 0.5000  8 Pb 3.11
Pb: 0.2500 0.2500 0.2500  4 As 3.11, 4 B 3.11
Pb: 0.7500 0.7500 0.7500  4 As 3.11, 4 B 3.11

Properties
SG	Fm-3m (225)

=====

Version B
Density functional theory data (GGA-PBE) for a relaxed BAsPb2 crystal.

abc: 7.2616 7.2616 7.2616
angles: 131.43 131.43 71.13
With the nearest neighbours (Å) after each atom.
Atoms (fractional coordinates):
B: 0.0000 0.0000 0.0000  4 Pb 2.39
B: 0.7500 0.2500 0.5000  4 Pb 2.39
As: 0.2500 0.7500 0.5000  4 Pb 2.80
As: 0.5000 0.5000 0.0000  4 Pb 2.80
Pb: 0.0650 0.6250 0.9400  2 B 2.39
Pb: 0.3750 0.3150 0.4400  2 B 2.39
Pb: 0.6850 0.1250 0.0600  2 B 2.39
Pb: 0.8750 0.9350 0.5600  2 B 2.39

Properties
SG	I-42d (122)

=====

version B (451 meV per atom below the next structure)

=====

Version A
Density functional theory data (GGA-PBE) for a relaxed BAs3Pb crystal.

abc: 5.4175 5.4175 5.4175
angles: 90.00 90.00 90.00
With the nearest neighbours (Å) after each atom.
Atoms (fractional coordinates):
B: 0.0000 0.0000 0.0000  12 As 3.83
As: 0.0000 0.5000 0.5000  2 Pb 2.71
As: 0.5000 0.0000 0.5000  2 Pb 2.71
As: 0.5000 0.5000 0.0000  2 Pb 2.71
Pb: 0.5000 0.5000 0.5000  6 As 2.71

Properties
SG	Pm-3m (221)

=====

Version B
Density functional theory data (GGA-PBE) for a relaxed BAs3Pb crystal.

abc: 4.6076 4.6076 4.6076
angles: 90.00 90.00 90.00
With the nearest neighbours (Å) after each atom.
Atoms (fractional coordinates):
B: 0.0000 0.0000 0.0000  6 As 2.30
As: 0.0000 0.0000 0.5000  2 B 2.30
As: 0.0000 0.5000 0.0000  2 B 2.30
As: 0.5000 0.0000 0.0000  2 B 2.30
Pb: 0.5000 0.5000 0.5000  12 As 3.26

Properties
SG	Pm-3m (221)

=====

version B (1358 meV per atom below the next structure)

=====

Version A
Density functional theory data (GGA-PBE) for a relaxed BAsPbSe2 crystal.

abc: 5.5082 5.5082 5.4247
angles: 90.00 90.00 90.00
With the nearest neighbours (Å) after each atom.
Atoms (fractional coordinates):
B: 0.0000 0.0000 0.0000  8 Se 3.87, 4 As 3.89
As: 0.5000 0.5000 0.0000  2 Pb 2.71
Pb: 0.5000 0.5000 0.5000  2 As 2.71, 4 Se 2.75
Se: 0.0000 0.5000 0.5000  2 Pb 2.75
Se: 0.5000 0.0000 0.5000  2 Pb 2.75

Properties
SG	P4/mmm (123)

=====

Version B
Density functional theory data (GGA-PBE) for a relaxed BAsPbSe2 crystal.

abc: 5.0216 5.0216 4.1115
angles: 90.00 90.00 90.00
With the nearest neighbours (Å) after each atom.
Atoms (fractional coordinates):
B: 0.0000 0.0000 0.0000  2 As 2.06
As: 0.0000 0.0000 0.5000  2 B 2.06
Pb: 0.5000 0.5000 0.5000  8 Se 3.25, 4 As 3.55
Se: 0.0000 0.5000 0.0000  2 B 2.51
Se: 0.5000 0.0000 0.0000  2 B 2.51

Properties
SG	P4/mmm (123)

=====

version B (1190 meV per atom below the next structure)

=====

Version A
Density functional theory data (GGA-PBE) for a relaxed B3AsPd crystal.

abc: 4.1300 4.1300 4.1300
angles: 90.00 90.00 90.00
With the nearest neighbours (Å) after each atom.
Atoms (fractional coordinates):
B: 0.0000 0.0000 0.5000  2 Pd 2.06
B: 0.0000 0.5000 0.0000  2 Pd 2.06
B: 0.5000 0.0000 0.0000  2 Pd 2.06
As: 0.5000 0.5000 0.5000  12 B 2.92
Pd: 0.0000 0.0000 0.0000  6 B 2.06

Properties
SG	Pm-3m (221)

=====

Version B
Density functional theory data (GGA-PBE) for a relaxed B3AsPd crystal.

abc: 4.0878 4.0878 4.0878
angles: 90.00 90.00 90.00
With the nearest neighbours (Å) after each atom.
Atoms (fractional coordinates):
B: 0.0000 0.0000 0.5000  2 As 2.04
B: 0.0000 0.5000 0.0000  2 As 2.04
B: 0.5000 0.0000 0.0000  2 As 2.04
As: 0.0000 0.0000 0.0000  6 B 2.04
Pd: 0.5000 0.5000 0.5000  12 B 2.89

Properties
SG	Pm-3m (221)

=====

version A (302 meV per atom below the next structure)

=====

Version A
Density functional theory data (GGA-PBE) for a relaxed BAsPd2 crystal.

abc: 6.6717 6.6717 6.6717
angles: 136.65 136.65 62.98
With the nearest neighbours (Å) after each atom.
Atoms (fractional coordinates):
B: 0.0000 0.0000 0.0000  4 Pd 2.07
B: 0.7500 0.2500 0.5000  4 Pd 2.07
As: 0.2500 0.7500 0.5000  4 Pd 2.47
As: 0.5000 0.5000 0.0000  4 Pd 2.47
Pd: 0.0495 0.6250 0.9245  2 B 2.07
Pd: 0.3750 0.2995 0.4245  2 B 2.07
Pd: 0.7005 0.1250 0.0755  2 B 2.07
Pd: 0.8750 0.9505 0.5755  2 B 2.07

Properties
SG	I-42d (122)

=====

Version B
Density functional theory data (GGA-PBE) for a relaxed BAsPd2 crystal.

abc: 4.2716 4.2716 4.2716
angles: 60.00 60.00 60.00
With the nearest neighbours (Å) after each atom.
Atoms (fractional coordinates):
B: 0.0000 0.0000 0.0000  8 Pd 2.62
As: 0.5000 0.5000 0.5000  8 Pd 2.62
Pd: 0.2500 0.2500 0.2500  4 As 2.62, 4 B 2.62
Pd: 0.7500 0.7500 0.7500  4 As 2.62, 4 B 2.62

Properties
SG	Fm-3m (225)

=====

version A (260 meV per atom below the next structure)

=====

Version A
Density functional theory data (GGA-PBE) for a relaxed BAsPd3 crystal.

abc: 4.2159 4.2159 4.2159
angles: 90.00 90.00 90.00
With the nearest neighbours (Å) after each atom.
Atoms (fractional coordinates):
B: 0.0000 0.0000 0.0000  6 Pd 2.11
As: 0.5000 0.5000 0.5000  12 Pd 2.98
Pd: 0.0000 0.0000 0.5000  2 B 2.11
Pd: 0.0000 0.5000 0.0000  2 B 2.11
Pd: 0.5000 0.0000 0.0000  2 B 2.11

Properties
SG	Pm-3m (221)

=====

Version B
Density functional theory data (GGA-PBE) for a relaxed BAsPd3 crystal.

abc: 5.7953 5.7953 5.7953
angles: 107.42 106.22 114.92
With the nearest neighbours (Å) after each atom.
Atoms (fractional coordinates):
B: 0.2019 0.2500 0.4519  1 As 2.06, 4 Pd 2.10-2.17
B: 0.7981 0.7500 0.5481  1 As 2.06, 4 Pd 2.10-2.17
As: 0.0546 0.3768 0.1778  1 B 2.06
As: 0.1990 0.8768 0.8222  1 B 2.06
Pd: 0.2018 0.4453 0.8272  1 B 2.13
Pd: 0.2018 0.8746 0.2565  1 B 2.13
Pd: 0.6181 0.3746 0.1728  1 B 2.13
Pd: 0.6181 0.9453 0.7435  1 B 2.13
Pd: 0.6429 0.4445 0.6984  2 B 2.10-2.17
Pd: 0.7461 0.9445 0.3016  2 B 2.10-2.17

Properties
SG	Ima2 (46)

=====

Version C
Density functional theory data (GGA-PBE) for a relaxed BAsPd3 crystal.

abc: 4.6524 4.6524 4.6524
angles: 90.00 90.00 90.00
With the nearest neighbours (Å) after each atom.
Atoms (fractional coordinates):
B: 0.0000 0.0000 0.0000  12 Pd 3.29
As: 0.5000 0.5000 0.5000  6 Pd 2.33
Pd: 0.0000 0.5000 0.5000  2 As 2.33
Pd: 0.5000 0.0000 0.5000  2 As 2.33
Pd: 0.5000 0.5000 0.0000  2 As 2.33

Properties
SG	Pm-3m (221)

=====

version B (45 meV per atom below the next structure)